DFT (PBE) results for an optimized crystal structure of PmBe2Rh2.

Cell lengths 4.1624, 4.1624, 8.9562 Å; angles 90.00, 90.00, 90.00 degrees
Last column: nearest neighbours and their distance in Å.
Space group I4/mmm (No. 139)
Symmetry-distinct sites (fractional):
Pm 0.0000 0.0000 0.0000 [2 per cell]  8 Rh 3.06, 10 Be 3.17-3.22
Be 0.0000 0.0000 0.3538 [4 per cell]  4 Rh 2.28
Rh 0.0000 0.5000 0.2500 [4 per cell]  4 Be 2.28

## Properties
ΔH_f (0 K): -61 kJ per mole of atoms
N(E_F): 3.7 states/eV/cell